# 1
## U2Ga2Ir3 (PBE-GGA)

Data for a relaxed structure of U2Ga2Ir3.

Cell and atoms, written as CIF:
```
data_U2Ga2Ir3
_chemical_formula_sum 'U4 Ga4 Ir6'
_cell_length_a 12.2329
_cell_length_b 4.3221
_cell_length_c 5.2052
_cell_angle_alpha 90.00
_cell_angle_beta 94.29
_cell_angle_gamma 90.00
_symmetry_space_group_name_H-M 'C 1 2/m 1'
_symmetry_Int_Tables_number 12
loop_
_symmetry_equiv_pos_as_xyz
'x,y,z'
'-x,-y,-z'
'-x,y,-z'
'x,-y,z'
'x+1/2,y+1/2,z'
'-x+1/2,-y+1/2,-z'
'-x+1/2,y+1/2,-z'
'x+1/2,-y+1/2,z'
loop_
_atom_site_label
_atom_site_fract_x
_atom_site_fract_y
_atom_site_fract_z
U1 0.1367 0.0000 0.1206
Ga1 0.1038 0.5000 0.6422
Ir1 0.0000 0.0000 0.5000
Ir2 0.2285 0.0000 0.6747
```

Computed properties:
- spin magnetization (μB/atom) = 0.47
- volume (Å³ per atom) = 19.6
- ΔE_f (kJ/mol of atoms) = -39
- mass density (g cm⁻³) = 14.43
- uncorrected energy (eV per atom) = -8.287

# 2
## UGa4Ir2 (PBE-GGA)

Data for a relaxed structure of UGa4Ir2.

Cell and atoms, written as CIF:
```
data_UGa4Ir2
_chemical_formula_sum 'U2 Ga8 Ir4'
_cell_length_a 7.3417
_cell_length_b 7.3417
_cell_length_c 4.5350
_cell_angle_alpha 90.00
_cell_angle_beta 90.00
_cell_angle_gamma 90.00
_symmetry_space_group_name_H-M 'P 42/m n m'
_symmetry_Int_Tables_number 136
_symmetry_space_group_name_Hall '-P 4n 2n'
loop_
_atom_site_label
_atom_site_fract_x
_atom_site_fract_y
_atom_site_fract_z
U1 0.0000 0.0000 0.0000
Ga1 0.0904 0.3358 0.5000
Ir1 0.2370 0.7630 0.5000
```

Computed properties:
- spin magnetization (μB/atom) = 0.31
- relative energy among the computed polymorphs (meV/atom) = 33
- volume (Å³ per atom) = 17.5
- ΔE_f (kJ/mol of atoms) = -40
- mass density (g cm⁻³) = 12.25
- uncorrected energy (eV per atom) = -6.283

# 3
## U2GaIr (PBE-GGA)

Data for a relaxed structure of U2GaIr.

Cell and atoms, written as CIF:
```
data_U2GaIr
_chemical_formula_sum 'U2 Ga1 Ir1'
_cell_length_a 4.1190
_cell_length_b 4.1190
_cell_length_c 4.3784
_cell_angle_alpha 90.00
_cell_angle_beta 90.00
_cell_angle_gamma 90.00
_symmetry_space_group_name_H-M 'P 4/m m m'
_symmetry_Int_Tables_number 123
_symmetry_space_group_name_Hall '-P 4 2'
loop_
_atom_site_label
_atom_site_fract_x
_atom_site_fract_y
_atom_site_fract_z
U1 0.0000 0.5000 0.0000
Ga1 0.0000 0.0000 0.5000
Ir1 0.5000 0.5000 0.5000
```

Computed properties:
- spin magnetization (μB/atom) = 0.53
- volume (Å³ per atom) = 18.6
- ΔE_f (kJ/mol of atoms) = -28
- mass density (g cm⁻³) = 16.50
- uncorrected energy (eV per atom) = -8.902